Below is a relaxed structure of Sr2LaPb, with properties calculated at the PBE level.

Crystal system: trigonal
Calculated formation energy: -0.083 eV per atom
Space-group type: R-3m

Unit cell a=12.391 b=12.391 c=12.391 alpha=18.28 beta=18.28 gamma=18.28
Fractional coordinates of all 4 atoms:
Pb 0.750 0.750 0.750
La 0.250 0.250 0.250
Sr 0.009 0.009 0.009
Sr 0.491 0.491 0.491



Below is a relaxed structure of SrLaPb2, with properties calculated at the PBE level.

Crystal system: tetragonal
Calculated formation energy: -0.552 eV per atom
Space-group type: P4/mmm

Unit cell a=3.720 b=3.720 c=9.497 alpha=90.00 beta=90.00 gamma=90.00
Fractional coordinates of all 4 atoms:
La 0.500 0.500 0.750
Pb 0.000 0.000 0.505
Pb 0.000 0.000 0.995
Sr 0.500 0.500 0.250



Below is a relaxed structure of Sr3LaPb4, with properties calculated at the PBE level.

Crystal system: tetragonal
Calculated formation energy: -0.523 eV per atom
Space-group type: I4/mmm

Unit cell a=5.382 b=5.382 c=10.090 alpha=105.47 beta=105.48 gamma=90.01
Fractional coordinates of all 8 atoms:
Sr 0.749 0.249 0.498
Sr 0.251 0.751 0.502
Sr 0.000 0.500 0.000
Pb 0.877 0.877 0.754
Pb 0.377 0.377 0.754
Pb 0.123 0.123 0.246
Pb 0.623 0.623 0.246
La 0.500 0.000 0.000



Below is a relaxed structure of Sr2LaPb2, with properties calculated at the PBE level.

Crystal system: tetragonal
Calculated formation energy: -0.441 eV per atom
Space-group type: P4/mbm

Unit cell a=9.620 b=9.620 c=3.989 alpha=90.00 beta=90.00 gamma=90.00
Fractional coordinates of all 10 atoms:
La 0.500 0.500 0.000
La 0.000 0.000 0.000
Sr 0.367 0.133 0.500
Sr 0.633 0.867 0.500
Sr 0.133 0.633 0.500
Sr 0.867 0.367 0.500
Pb 0.330 0.830 0.000
Pb 0.830 0.670 0.000
Pb 0.670 0.170 0.000
Pb 0.170 0.330 0.000



Below is a relaxed structure of Sr2LaPb, with properties calculated at the PBE level.

Crystal system: tetragonal
Calculated formation energy: -0.179 eV per atom
Space-group type: P4/mmm

Unit cell a=3.882 b=3.882 c=10.560 alpha=90.00 beta=90.00 gamma=90.00
Fractional coordinates of all 4 atoms:
La 0.500 0.500 0.250
Sr 0.000 0.000 0.957
Sr 0.000 0.000 0.543
Pb 0.500 0.500 0.750



Below is a relaxed structure of Sr2LaPb, with properties calculated at the PBE level.

Crystal system: trigonal
Calculated formation energy: -0.122 eV per atom
Space-group type: R3m

Unit cell a=12.121 b=12.121 c=12.121 alpha=19.43 beta=19.43 gamma=19.43
Fractional coordinates of all 4 atoms:
Sr 0.246 0.246 0.246
Sr 0.015 0.015 0.015
Pb 0.752 0.752 0.752
La 0.486 0.486 0.486



no.,E (eV for the cell shown)
1,-12.3
2,-16.2
3,-29.0
4,-35.8
5,-12.7
6,-12.5